Ca2CeP | PBE | optimized geometry

The structure in CIF format:
```
data_Ca2CeP
_cell_length_a 3.9607
_cell_length_b 3.9607
_cell_length_c 32.4984
_cell_angle_alpha 90.00
_cell_angle_beta 90.00
_cell_angle_gamma 120.00
_space_group_name_H-M_alt 'R -3 m'
_space_group_IT_number 166
_space_group_name_Hall '-R 3 2"'
loop_
_atom_site_label
_atom_site_type_symbol
_atom_site_fract_x
_atom_site_fract_y
_atom_site_fract_z
Ca1 Ca 0.0000 0.0000 0.1194
Ce1 Ce 0.0000 0.0000 0.0000
P1 P 0.0000 0.0000 0.5000
```

Results
**Energy relative to the elements**: -1.1 eV/f.u.
**VASP energy**: -4.10 eV per atom